# GaAg2Pt PBE-GGA relaxed
data_GaAg2Pt
_chemical_formula_sum 'Ga1 Ag2 Pt1'
_cell_length_a 4.5432
_cell_length_b 4.5432
_cell_length_c 4.5432
_cell_angle_alpha 60.00
_cell_angle_beta 60.00
_cell_angle_gamma 60.00
_space_group_name_H-M_alt 'P 1'
_space_group_IT_number 1
_space_group_name_Hall 'P 1'
loop_
_atom_site_label
_atom_site_type_symbol
_atom_site_fract_x
_atom_site_fract_y
_atom_site_fract_z
Ga1 Ga 0.0000 0.0000 0.0000
Ag1 Ag 0.5000 0.5000 0.5000
Ag2 Ag 0.7500 0.7500 0.7500
Pt1 Pt 0.2500 0.2500 0.2500
# Final energy   -3.833 eV/atom
# Total moment   0.000 μB per atom
# Space-group type   F-43m, No. 216

# BeZnSO PBE-GGA relaxed
data_BeZnSO
_chemical_formula_sum 'Be4 Zn4 S4 O4'
_cell_length_a 5.1272
_cell_length_b 7.8245
_cell_length_c 4.7759
_cell_angle_alpha 90.00
_cell_angle_beta 90.00
_cell_angle_gamma 90.00
_space_group_name_H-M_alt 'P 1'
_space_group_IT_number 1
_space_group_name_Hall 'P 1'
loop_
_atom_site_label
_atom_site_type_symbol
_atom_site_fract_x
_atom_site_fract_y
_atom_site_fract_z
Be1 Be 0.1136 0.0530 0.0000
Be2 Be 0.3864 0.0530 0.5000
Be3 Be 0.6136 0.9470 0.0000
Be4 Be 0.8864 0.9470 0.5000
Zn1 Zn 0.0011 0.3368 0.6020
Zn2 Zn 0.4989 0.3368 0.1020
Zn3 Zn 0.5011 0.6632 0.6020
Zn4 Zn 0.9989 0.6632 0.1020
S1 S 0.0127 0.6631 0.6054
S2 S 0.4873 0.6631 0.1054
S3 S 0.5127 0.3369 0.6054
S4 S 0.9873 0.3369 0.1054
O1 O 0.1079 0.0547 0.6570
O2 O 0.3921 0.0547 0.1570
O3 O 0.6079 0.9453 0.6570
O4 O 0.8921 0.9453 0.1570
# Final energy   -5.027 eV/atom
# Energy relative to the lowest polymorph listed for this composition   0.0 meV per atom
# Space-group type   Pca2_1, No. 29

# Ho4Cu3Ni PBE-GGA relaxed
data_Ho4Cu3Ni
_chemical_formula_sum 'Ho4 Cu3 Ni1'
_cell_length_a 5.3478
_cell_length_b 4.3955
_cell_length_c 7.0432
_cell_angle_alpha 90.00
_cell_angle_beta 90.13
_cell_angle_gamma 90.00
_space_group_name_H-M_alt 'P 1'
_space_group_IT_number 1
_space_group_name_Hall 'P 1'
loop_
_atom_site_label
_atom_site_type_symbol
_atom_site_fract_x
_atom_site_fract_y
_atom_site_fract_z
Ho1 Ho 0.0000 0.0000 0.0000
Ho2 Ho 0.2238 0.0000 0.5148
Ho3 Ho 0.4920 0.5000 0.1378
Ho4 Ho 0.7276 0.5000 0.6481
Cu1 Cu 0.4913 0.0000 0.8601
Cu2 Cu 0.7331 0.0000 0.3566
Cu3 Cu 0.9859 0.5000 0.2912
Ni1 Ni 0.2315 0.5000 0.7911
# Final energy   -4.710 eV/atom
# Total moment   0.000 μB per atom
# Space-group type   Pm, No. 6

# LiMgTlHg PBE-GGA relaxed
data_LiMgTlHg
_chemical_formula_sum 'Li1 Mg1 Tl1 Hg1'
_cell_length_a 5.0048
_cell_length_b 5.0048
_cell_length_c 5.0048
_cell_angle_alpha 60.00
_cell_angle_beta 60.00
_cell_angle_gamma 60.00
_space_group_name_H-M_alt 'P 1'
_space_group_IT_number 1
_space_group_name_Hall 'P 1'
loop_
_atom_site_label
_atom_site_type_symbol
_atom_site_fract_x
_atom_site_fract_y
_atom_site_fract_z
Li1 Li 0.0000 0.0000 0.0000
Mg1 Mg 0.7500 0.7500 0.7500
Tl1 Tl 0.2500 0.2500 0.2500
Hg1 Hg 0.5000 0.5000 0.5000
# Final energy   -1.643 eV/atom
# Energy relative to the lowest polymorph listed for this composition   111.3 meV per atom
# Space-group type   F-43m, No. 216

# SrPrGe4Ir2 PBE-GGA relaxed
data_SrPrGe4Ir2
_chemical_formula_sum 'Sr1 Pr1 Ge4 Ir2'
_cell_length_a 4.3729
_cell_length_b 8.9710
_cell_length_c 8.9710
_cell_angle_alpha 28.62
_cell_angle_beta 90.00
_cell_angle_gamma 90.00
_space_group_name_H-M_alt 'P 1'
_space_group_IT_number 1
_space_group_name_Hall 'P 1'
loop_
_atom_site_label
_atom_site_type_symbol
_atom_site_fract_x
_atom_site_fract_y
_atom_site_fract_z
Sr1 Sr 0.0000 0.0000 0.0000
Pr1 Pr 0.5000 0.2168 0.2168
Ge1 Ge 0.0000 0.3563 0.3563
Ge2 Ge 0.0000 0.6488 0.6488
Ge3 Ge 0.5000 0.5680 0.5680
Ge4 Ge 0.5000 0.8562 0.8562
Ir1 Ir 0.0000 0.7865 0.7865
Ir2 Ir 0.5000 0.4267 0.4267
# Final energy   -6.012 eV/atom
# Total moment   0.000 μB per atom
# Space-group type   Amm2, No. 38

# CdH8C2S2Br2N4 PBE-GGA relaxed
data_CdH8C2S2Br2N4
_chemical_formula_sum 'Cd4 H32 C8 S8 Br8 N16'
_cell_length_a 12.6934
_cell_length_b 13.5678
_cell_length_c 5.9727
_cell_angle_alpha 90.00
_cell_angle_beta 90.00
_cell_angle_gamma 90.00
_space_group_name_H-M_alt 'P 1'
_space_group_IT_number 1
_space_group_name_Hall 'P 1'
loop_
_atom_site_label
_atom_site_type_symbol
_atom_site_fract_x
_atom_site_fract_y
_atom_site_fract_z
Cd1 Cd 0.1525 0.2500 0.2232
Cd2 Cd 0.3475 0.7500 0.7232
Cd3 Cd 0.6525 0.2500 0.2768
Cd4 Cd 0.8475 0.7500 0.7768
H1 H 0.1025 0.6195 0.3959
H2 H 0.1025 0.8805 0.3959
H3 H 0.1218 0.6565 0.1169
H4 H 0.1218 0.8435 0.1169
H5 H 0.1344 0.0839 0.8947
H6 H 0.1344 0.4161 0.8947
H7 H 0.1436 0.5430 0.8413
H8 H 0.1436 0.9570 0.8413
H9 H 0.3564 0.0430 0.3413
H10 H 0.3564 0.4570 0.3413
H11 H 0.3656 0.5839 0.3947
H12 H 0.3656 0.9161 0.3947
H13 H 0.3782 0.1565 0.6169
H14 H 0.3782 0.3435 0.6169
H15 H 0.3975 0.1195 0.8959
H16 H 0.3975 0.3805 0.8959
H17 H 0.6025 0.6195 0.1041
H18 H 0.6025 0.8805 0.1041
H19 H 0.6218 0.6565 0.3831
H20 H 0.6218 0.8435 0.3831
H21 H 0.6344 0.0839 0.6053
H22 H 0.6344 0.4161 0.6053
H23 H 0.6436 0.5430 0.6587
H24 H 0.6436 0.9570 0.6587
H25 H 0.8564 0.0430 0.1587
H26 H 0.8564 0.4570 0.1587
H27 H 0.8656 0.5839 0.1053
H28 H 0.8656 0.9161 0.1053
H29 H 0.8782 0.1565 0.8831
H30 H 0.8782 0.3435 0.8831
H31 H 0.8975 0.1195 0.6041
H32 H 0.8975 0.3805 0.6041
C1 C 0.1205 0.5071 0.1699
C2 C 0.1205 0.9929 0.1699
C3 C 0.3795 0.0071 0.6699
C4 C 0.3795 0.4929 0.6699
C5 C 0.6205 0.5071 0.3301
C6 C 0.6205 0.9929 0.3301
C7 C 0.8795 0.0071 0.8301
C8 C 0.8795 0.4929 0.8301
S1 S 0.1039 0.0812 0.3742
S2 S 0.1039 0.4188 0.3742
S3 S 0.3961 0.5812 0.8742
S4 S 0.3961 0.9188 0.8742
S5 S 0.6039 0.0812 0.1258
S6 S 0.6039 0.4188 0.1258
S7 S 0.8961 0.5812 0.6258
S8 S 0.8961 0.9188 0.6258
Br1 Br 0.1227 0.2500 0.7817
Br2 Br 0.1333 0.7500 0.7498
Br3 Br 0.3667 0.2500 0.2498
Br4 Br 0.3773 0.7500 0.2817
Br5 Br 0.6227 0.2500 0.7183
Br6 Br 0.6333 0.7500 0.7502
Br7 Br 0.8667 0.2500 0.2502
Br8 Br 0.8773 0.7500 0.2183
N1 N 0.1182 0.6014 0.2339
N2 N 0.1182 0.8986 0.2339
N3 N 0.1361 0.0130 0.9541
N4 N 0.1361 0.4870 0.9541
N5 N 0.3639 0.5130 0.4541
N6 N 0.3639 0.9870 0.4541
N7 N 0.3818 0.1014 0.7339
N8 N 0.3818 0.3986 0.7339
N9 N 0.6182 0.6014 0.2661
N10 N 0.6182 0.8986 0.2661
N11 N 0.6361 0.0130 0.5459
N12 N 0.6361 0.4870 0.5459
N13 N 0.8639 0.5130 0.0459
N14 N 0.8639 0.9870 0.0459
N15 N 0.8818 0.1014 0.7661
N16 N 0.8818 0.3986 0.7661
# Final energy   -5.148 eV/atom
# Space-group type   Pnma, No. 62

# K2LiAuF6 PBE-GGA relaxed
data_K2LiAuF6
_chemical_formula_sum 'K2 Li1 Au1 F6'
_cell_length_a 5.9567
_cell_length_b 5.9567
_cell_length_c 5.9567
_cell_angle_alpha 125.49
_cell_angle_beta 125.49
_cell_angle_gamma 80.73
_space_group_name_H-M_alt 'P 1'
_space_group_IT_number 1
_space_group_name_Hall 'P 1'
loop_
_atom_site_label
_atom_site_type_symbol
_atom_site_fract_x
_atom_site_fract_y
_atom_site_fract_z
K1 K 0.2500 0.7500 0.5000
K2 K 0.7500 0.2500 0.5000
Li1 Li 0.0000 0.0000 0.0000
Au1 Au 0.5000 0.5000 0.0000
F1 F 0.1935 0.6887 0.8822
F2 F 0.2129 0.2129 0.0000
F3 F 0.3113 0.1935 0.5049
F4 F 0.6887 0.8065 0.4951
F5 F 0.7871 0.7871 0.0000
F6 F 0.8065 0.3113 0.1178
# Final energy   -3.972 eV/atom
# Energy relative to the lowest polymorph listed for this composition   0.0 meV per atom
# Space-group type   I4/m, No. 87

# Sc2AgTe3 PBE-GGA relaxed
data_Sc2AgTe3
_chemical_formula_sum 'Sc8 Ag4 Te12'
_cell_length_a 7.8974
_cell_length_b 3.9968
_cell_length_c 19.3723
_cell_angle_alpha 90.00
_cell_angle_beta 90.00
_cell_angle_gamma 90.00
_space_group_name_H-M_alt 'P 1'
_space_group_IT_number 1
_space_group_name_Hall 'P 1'
loop_
_atom_site_label
_atom_site_type_symbol
_atom_site_fract_x
_atom_site_fract_y
_atom_site_fract_z
Sc1 Sc 0.0790 0.2500 0.1938
Sc2 Sc 0.2012 0.7500 0.5090
Sc3 Sc 0.2988 0.2500 0.0090
Sc4 Sc 0.4210 0.7500 0.6938
Sc5 Sc 0.5790 0.2500 0.3062
Sc6 Sc 0.7012 0.7500 0.9910
Sc7 Sc 0.7988 0.2500 0.4910
Sc8 Sc 0.9210 0.7500 0.8062
Ag1 Ag 0.0914 0.2500 0.6152
Ag2 Ag 0.4086 0.7500 0.1152
Ag3 Ag 0.5914 0.2500 0.8848
Ag4 Ag 0.9086 0.7500 0.3848
Te1 Te 0.0552 0.7500 0.0781
Te2 Te 0.1488 0.2500 0.4073
Te3 Te 0.1778 0.2500 0.7532
Te4 Te 0.3222 0.7500 0.2532
Te5 Te 0.3512 0.7500 0.9073
Te6 Te 0.4448 0.2500 0.5781
Te7 Te 0.5552 0.7500 0.4219
Te8 Te 0.6488 0.2500 0.0927
Te9 Te 0.6778 0.2500 0.7468
Te10 Te 0.8222 0.7500 0.2468
Te11 Te 0.8512 0.7500 0.5927
Te12 Te 0.9448 0.2500 0.9219
# Final energy   -4.954 eV/atom
# Total moment   0.001 μB per atom
# Space-group type   Pnma, No. 62

# Lu2Re2O5 PBE-GGA relaxed
data_Lu2Re2O5
_chemical_formula_sum 'Lu2 Re2 O5'
_cell_length_a 3.4895
_cell_length_b 3.4895
_cell_length_c 9.2369
_cell_angle_alpha 90.00
_cell_angle_beta 90.00
_cell_angle_gamma 90.00
_space_group_name_H-M_alt 'P 1'
_space_group_IT_number 1
_space_group_name_Hall 'P 1'
loop_
_atom_site_label
_atom_site_type_symbol
_atom_site_fract_x
_atom_site_fract_y
_atom_site_fract_z
Lu1 Lu 0.0000 0.0000 0.2350
Lu2 Lu 0.0000 0.0000 0.7650
Re1 Re 0.5000 0.5000 0.0000
Re2 Re 0.5000 0.5000 0.5000
O1 O 0.0000 0.0000 0.0000
O2 O 0.0000 0.5000 0.3726
O3 O 0.0000 0.5000 0.6274
O4 O 0.5000 0.0000 0.3726
O5 O 0.5000 0.0000 0.6274
# Final energy   -8.044 eV/atom
# Total moment   0.312 μB per atom
# Energy relative to the lowest polymorph listed for this composition   251.8 meV per atom
# Space-group type   P4/mmm, No. 123